# 1
# PBE-GGA NiMo2HAu, relaxed
data_NiMo2HAu
_symmetry_space_group_name_H-M 'P 4/m m m'
_symmetry_Int_Tables_number 123
_symmetry_space_group_name_Hall '-P 4 2'
_cell_length_a 3.873
_cell_length_b 3.873
_cell_length_c 4.161
_cell_angle_alpha 90.00
_cell_angle_beta 90.00
_cell_angle_gamma 90.00
loop_
_atom_site_label
_atom_site_type_symbol
_atom_site_fract_x
_atom_site_fract_y
_atom_site_fract_z
Ni1 Ni 0.000 0.000 0.000
Mo1 Mo 0.000 0.500 0.500
H1 H 0.000 0.000 0.500
Au1 Au 0.500 0.500 0.000
# Uncorrected energy: -6.67 eV per atom
# Total magnetic moment: 0.00 μB/f.u.
# DOS at the Fermi energy: 4.883 states/eV per cell


# 2
# PBE-GGA Nd8Sm4Ho3, relaxed
data_Nd8Sm4Ho3
_symmetry_space_group_name_H-M 'C 1 2/m 1'
_symmetry_Int_Tables_number 12
_symmetry_space_group_name_Hall '-C 2y'
_cell_length_a 13.988
_cell_length_b 12.280
_cell_length_c 6.906
_cell_angle_alpha 90.00
_cell_angle_beta 118.89
_cell_angle_gamma 90.00
loop_
_atom_site_label
_atom_site_type_symbol
_atom_site_fract_x
_atom_site_fract_y
_atom_site_fract_z
Nd1 Nd 0.000 0.202 0.000
Nd2 Nd 0.000 0.252 0.500
Nd3 Nd 0.202 0.000 0.177
Nd4 Nd 0.247 0.500 0.284
Sm1 Sm 0.000 0.500 0.000
Sm2 Sm 0.000 0.500 0.500
Sm3 Sm 0.250 0.250 0.000
Ho1 Ho 0.000 0.000 0.500
Ho2 Ho 0.250 0.250 0.500
# Uncorrected energy: -4.40 eV per atom
# Total magnetic moment: 0.01 μB/f.u.
# ΔE_f: 0.322 eV/atom
# DOS at the Fermi energy: 48.749 states/eV per cell


# 3
# PBE-GGA NdSmMg6, relaxed
data_NdSmMg6
_symmetry_space_group_name_H-M 'P -6 m 2'
_symmetry_Int_Tables_number 187
_symmetry_space_group_name_Hall 'P -6 2'
_cell_length_a 6.7956
_cell_length_b 6.7956
_cell_length_c 5.2186
_cell_angle_alpha 90.00
_cell_angle_beta 90.00
_cell_angle_gamma 120.00
loop_
_atom_site_label
_atom_site_type_symbol
_atom_site_fract_x
_atom_site_fract_y
_atom_site_fract_z
Nd1 Nd 0.0000 0.0000 0.0000
Sm1 Sm 0.6667 0.3333 0.5000
Mg1 Mg 0.0079 0.5039 0.0000
Mg2 Mg 0.1715 0.3430 0.5000
# Uncorrected energy: -2.48 eV per atom
# Total magnetic moment: 0.00 μB/f.u.
# ΔE_f: -0.096 eV/atom
# DOS at the Fermi energy: 8.540 states/eV per cell


# 4
# PBE-GGA HgP2PdCl, relaxed
data_HgP2PdCl
_symmetry_space_group_name_H-M 'P 4/m m m'
_symmetry_Int_Tables_number 123
_symmetry_space_group_name_Hall '-P 4 2'
_cell_length_a 4.701
_cell_length_b 4.701
_cell_length_c 5.086
_cell_angle_alpha 90.00
_cell_angle_beta 90.00
_cell_angle_gamma 90.00
loop_
_atom_site_label
_atom_site_type_symbol
_atom_site_fract_x
_atom_site_fract_y
_atom_site_fract_z
Hg1 Hg 0.000 0.000 0.000
P1 P 0.000 0.500 0.500
Pd1 Pd 0.500 0.500 0.500
Cl1 Cl 0.500 0.500 0.000
# Uncorrected energy: -3.14 eV per atom
# Total magnetic moment: 1.14 μB/f.u.
# DOS at the Fermi energy: 3.503 states/eV per cell


# 5
# PBE-GGA BaCrNi, relaxed
data_BaCrNi
_symmetry_space_group_name_H-M 'P -1'
_symmetry_Int_Tables_number 2
_symmetry_space_group_name_Hall '-P 1'
_cell_length_a 4.185
_cell_length_b 4.584
_cell_length_c 9.120
_cell_angle_alpha 93.74
_cell_angle_beta 94.20
_cell_angle_gamma 100.63
loop_
_atom_site_label
_atom_site_type_symbol
_atom_site_fract_x
_atom_site_fract_y
_atom_site_fract_z
Ba1 Ba 0.201 0.219 0.294
Cr1 Cr 0.316 0.379 0.938
Ni1 Ni 0.226 0.866 0.002
# Uncorrected energy: -5.41 eV per atom
# Total magnetic moment: 0.00 μB/f.u.
# ΔE_f: 0.368 eV/atom
# DOS at the Fermi energy: 4.538 states/eV per cell


# 6
# PBE-GGA CaLaCd6, relaxed
data_CaLaCd6
_symmetry_space_group_name_H-M 'A m m 2'
_symmetry_Int_Tables_number 38
_symmetry_space_group_name_Hall 'A 2 -2'
_cell_length_a 5.028
_cell_length_b 7.213
_cell_length_c 11.389
_cell_angle_alpha 90.00
_cell_angle_beta 90.00
_cell_angle_gamma 90.00
loop_
_atom_site_label
_atom_site_type_symbol
_atom_site_fract_x
_atom_site_fract_y
_atom_site_fract_z
Ca1 Ca 0.000 0.000 0.000
La1 La 0.500 0.000 0.712
Cd1 Cd 0.000 0.000 0.524
Cd2 Cd 0.000 0.215 0.267
Cd3 Cd 0.500 0.000 0.187
Cd4 Cd 0.500 0.215 0.445
# Uncorrected energy: -1.84 eV per atom
# Total magnetic moment: 0.00 μB/f.u.
# ΔE_f: -0.286 eV/atom
# DOS at the Fermi energy: 8.573 states/eV per cell


# 7
# PBE-GGA SmY2Ga9, relaxed
data_SmY2Ga9
_symmetry_space_group_name_H-M 'P 4/m m m'
_symmetry_Int_Tables_number 123
_symmetry_space_group_name_Hall '-P 4 2'
_cell_length_a 4.301
_cell_length_b 4.301
_cell_length_c 12.902
_cell_angle_alpha 90.00
_cell_angle_beta 90.00
_cell_angle_gamma 90.00
loop_
_atom_site_label
_atom_site_type_symbol
_atom_site_fract_x
_atom_site_fract_y
_atom_site_fract_z
Sm1 Sm 0.000 0.000 0.000
Y1 Y 0.000 0.000 0.335
Ga1 Ga 0.000 0.500 0.169
Ga2 Ga 0.000 0.500 0.500
Ga3 Ga 0.500 0.500 0.000
Ga4 Ga 0.500 0.500 0.333
# Uncorrected energy: -4.28 eV per atom
# Total magnetic moment: 0.00 μB/f.u.
# ΔE_f: -0.535 eV/atom
# DOS at the Fermi energy: 4.952 states/eV per cell


# 8
# PBE-GGA NbCrMo14, relaxed
data_NbCrMo14
_symmetry_space_group_name_H-M 'P 4/m m m'
_symmetry_Int_Tables_number 123
_symmetry_space_group_name_Hall '-P 4 2'
_cell_length_a 6.322
_cell_length_b 6.322
_cell_length_c 6.321
_cell_angle_alpha 90.00
_cell_angle_beta 90.00
_cell_angle_gamma 90.00
loop_
_atom_site_label
_atom_site_type_symbol
_atom_site_fract_x
_atom_site_fract_y
_atom_site_fract_z
Nb1 Nb 0.000 0.000 0.000
Cr1 Cr 0.500 0.500 0.000
Mo1 Mo 0.000 0.000 0.500
Mo2 Mo 0.000 0.500 0.000
Mo3 Mo 0.000 0.500 0.500
Mo4 Mo 0.253 0.253 0.249
Mo5 Mo 0.500 0.500 0.500
# Uncorrected energy: -10.72 eV per atom
# Total magnetic moment: 0.00 μB/f.u.
# ΔE_f: -0.007 eV/atom
# DOS at the Fermi energy: 12.307 states/eV per cell


# 9
# PBE-GGA Ce3Er2ThSe6, relaxed
data_Ce3Er2ThSe6
_symmetry_space_group_name_H-M 'C 1 2/m 1'
_symmetry_Int_Tables_number 12
_symmetry_space_group_name_Hall '-C 2y'
_cell_length_a 7.177
_cell_length_b 12.438
_cell_length_c 7.199
_cell_angle_alpha 90.00
_cell_angle_beta 109.44
_cell_angle_gamma 90.00
loop_
_atom_site_label
_atom_site_type_symbol
_atom_site_fract_x
_atom_site_fract_y
_atom_site_fract_z
Ce1 Ce 0.000 0.000 0.000
Ce2 Ce 0.000 0.338 0.000
Er1 Er 0.000 0.168 0.500
Th1 Th 0.000 0.500 0.500
Se1 Se 0.235 0.000 0.736
Se2 Se 0.247 0.172 0.258
# Uncorrected energy: -6.34 eV per atom
# Total magnetic moment: 2.92 μB/f.u.
# DOS at the Fermi energy: 37.799 states/eV per cell


# 10
# PBE-GGA PuCuH4, relaxed
data_PuCuH4
_symmetry_space_group_name_H-M 'C 1 2/c 1'
_symmetry_Int_Tables_number 15
_symmetry_space_group_name_Hall '-C 2yc'
_cell_length_a 6.287
_cell_length_b 8.871
_cell_length_c 3.778
_cell_angle_alpha 90.00
_cell_angle_beta 115.75
_cell_angle_gamma 90.00
loop_
_atom_site_label
_atom_site_type_symbol
_atom_site_fract_x
_atom_site_fract_y
_atom_site_fract_z
Pu1 Pu 0.000 0.085 0.250
Cu1 Cu 0.000 0.396 0.750
H1 H 0.158 0.281 0.624
H2 H 0.200 0.461 0.206
# Uncorrected energy: -5.19 eV per atom
# Total magnetic moment: 0.89 μB/f.u.
# DOS at the Fermi energy: 11.896 states/eV per cell


# 11
# PBE-GGA CaAlZnAg3, relaxed
data_CaAlZnAg3
_symmetry_space_group_name_H-M 'C m c m'
_symmetry_Int_Tables_number 63
_symmetry_space_group_name_Hall '-C 2c 2'
_cell_length_a 6.961
_cell_length_b 13.050
_cell_length_c 5.650
_cell_angle_alpha 90.00
_cell_angle_beta 90.00
_cell_angle_gamma 90.00
loop_
_atom_site_label
_atom_site_type_symbol
_atom_site_fract_x
_atom_site_fract_y
_atom_site_fract_z
Ca1 Ca 0.000 0.208 0.250
Al1 Al 0.000 0.443 0.250
Zn1 Zn 0.000 0.146 0.750
Ag1 Ag 0.000 0.349 0.750
Ag2 Ag 0.201 0.000 0.000
# Uncorrected energy: -2.66 eV per atom
# Total magnetic moment: 0.00 μB/f.u.
# ΔE_f: -0.061 eV/atom
# DOS at the Fermi energy: 11.834 states/eV per cell


# 12
# PBE-GGA TaBe2Se, relaxed
data_TaBe2Se
_symmetry_space_group_name_H-M 'P 4/m m m'
_symmetry_Int_Tables_number 123
_symmetry_space_group_name_Hall '-P 4 2'
_cell_length_a 3.357
_cell_length_b 3.357
_cell_length_c 4.945
_cell_angle_alpha 90.00
_cell_angle_beta 90.00
_cell_angle_gamma 90.00
loop_
_atom_site_label
_atom_site_type_symbol
_atom_site_fract_x
_atom_site_fract_y
_atom_site_fract_z
Ta1 Ta 0.000 0.000 0.000
Be1 Be 0.500 0.500 0.216
Se1 Se 0.000 0.000 0.500
# Uncorrected energy: -5.56 eV per atom
# Total magnetic moment: 0.00 μB/f.u.
# DOS at the Fermi energy: 1.434 states/eV per cell